A geometry-optimized NaSr2Ta2 structure. Source: the Alexandria database, functional PBE.

```
data_NaSr2Ta2
_chemical_formula_sum 'Na2 Sr4 Ta4'
_cell_length_a 5.210
_cell_length_b 5.210
_cell_length_c 13.691
_cell_angle_alpha 90.00
_cell_angle_beta 90.00
_cell_angle_gamma 90.00
_symmetry_space_group_name_H-M 'I 4/m m m'
_symmetry_Int_Tables_number 139
_symmetry_space_group_name_Hall '-I 4 2'
loop_
_atom_site_label
_atom_site_type_symbol
_atom_site_fract_x
_atom_site_fract_y
_atom_site_fract_z
Na1 Na 0.000 0.000 0.000
Sr1 Sr 0.000 0.500 0.250
Ta1 Ta 0.000 0.000 0.419
```

Computed properties:
ΔH_f (0 K), eV per atom: 1.413
E above lowest polymorph, meV per atom: 476